(1)
# Sc2PdPt | Alexandria via LeMat-Bulk | PBEsol | optimized geometry
data_Sc2PdPt
_cell_length_a 3.1804
_cell_length_b 3.1804
_cell_length_c 26.4140
_cell_angle_alpha 90.00
_cell_angle_beta 90.00
_cell_angle_gamma 120.00
_symmetry_space_group_name_H-M 'R -3 m'
_symmetry_Int_Tables_number 166
_symmetry_space_group_name_Hall '-R 3 2"'
loop_
_atom_site_label
_atom_site_type_symbol
_atom_site_fract_x
_atom_site_fract_y
_atom_site_fract_z
Sc1 Sc 0.0000 0.0000 0.0925
Pd1 Pd 0.0000 0.0000 0.0000
Pt1 Pt 0.0000 0.0000 0.5000
# Total magnetic moment = 0.00 μB per formula unit
# Relative energy among the computed polymorphs = 725.4 meV/atom
# Energy relative to the elements = -1.38 eV per formula unit
# Final energy = -6.879 eV per atom

***

(2)
# LaMnMo2 | Alexandria via LeMat-Bulk | PBEsol | optimized geometry
data_LaMnMo2
_cell_length_a 2.8956
_cell_length_b 2.8956
_cell_length_c 28.3251
_cell_angle_alpha 90.00
_cell_angle_beta 90.00
_cell_angle_gamma 120.00
_symmetry_space_group_name_H-M 'R -3 m'
_symmetry_Int_Tables_number 166
_symmetry_space_group_name_Hall '-R 3 2"'
loop_
_atom_site_label
_atom_site_type_symbol
_atom_site_fract_x
_atom_site_fract_y
_atom_site_fract_z
La1 La 0.0000 0.0000 0.0000
Mn1 Mn 0.0000 0.0000 0.5000
Mo1 Mo 0.0000 0.0000 0.2334
# Total magnetic moment = 1.29 μB per formula unit
# Relative energy among the computed polymorphs = 206.7 meV/atom
# Energy relative to the elements = 2.82 eV per formula unit
# Final energy = -8.956 eV per atom

***

(3)
# LaAlPb4 | Alexandria via LeMat-Bulk | PBEsol | optimized geometry
data_LaAlPb4
_cell_length_a 8.9363
_cell_length_b 8.9363
_cell_length_c 8.9363
_cell_angle_alpha 90.00
_cell_angle_beta 90.00
_cell_angle_gamma 90.00
_symmetry_space_group_name_H-M 'F -4 3 m'
_symmetry_Int_Tables_number 216
_symmetry_space_group_name_Hall 'F -4 2 3'
loop_
_atom_site_label
_atom_site_type_symbol
_atom_site_fract_x
_atom_site_fract_y
_atom_site_fract_z
La1 La 0.0000 0.0000 0.0000
Al1 Al 0.2500 0.2500 0.2500
Pb1 Pb 0.1252 0.1252 0.6252
# Total magnetic moment = 0.00 μB per formula unit
# Energy relative to the elements = 0.15 eV per formula unit
# Final energy = -4.214 eV per atom